No. 1
# K2CuAgH4 (PBE, relaxed)
data_K2CuAgH4
_chemical_formula_sum 'K16 Cu8 Ag8 H32'
_symmetry_space_group_name_H-M 'F d d d'
_symmetry_Int_Tables_number 70
_cell_length_a 4.999
_cell_length_b 11.345
_cell_length_c 20.387
_cell_angle_alpha 90.00
_cell_angle_beta 90.00
_cell_angle_gamma 90.00
loop_
_symmetry_equiv_pos_as_xyz
'x,y,z'
'-x,-y,-z'
'-x+1/4,-y+1/4,z'
'x+1/4,y+1/4,-z'
'x,-y+1/4,-z+1/4'
'-x,y+1/4,z+1/4'
'-x+1/4,y,-z+1/4'
'x+1/4,-y,z+1/4'
'x,y+1/2,z+1/2'
'-x,-y+1/2,-z+1/2'
'-x+1/4,-y+3/4,z+1/2'
'x+1/4,y+3/4,-z+1/2'
'x,-y+3/4,-z+3/4'
'-x,y+3/4,z+3/4'
'-x+1/4,y+1/2,-z+3/4'
'x+1/4,-y+1/2,z+3/4'
'x+1/2,y,z+1/2'
'-x+1/2,-y,-z+1/2'
'-x+3/4,-y+1/4,z+1/2'
'x+3/4,y+1/4,-z+1/2'
'x+1/2,-y+1/4,-z+3/4'
'-x+1/2,y+1/4,z+3/4'
'-x+3/4,y,-z+3/4'
'x+3/4,-y,z+3/4'
'x+1/2,y+1/2,z'
'-x+1/2,-y+1/2,-z'
'-x+3/4,-y+3/4,z'
'x+3/4,y+3/4,-z'
'x+1/2,-y+3/4,-z+1/4'
'-x+1/2,y+3/4,z+1/4'
'-x+3/4,y+1/2,-z+1/4'
'x+3/4,-y+1/2,z+1/4'
loop_
_atom_site_label
_atom_site_type_symbol
_atom_site_fract_x
_atom_site_fract_y
_atom_site_fract_z
_atom_site_occupancy
K1 K 0.125 0.125 0.300 1
Cu1 Cu 0.125 0.125 0.625 1
Ag1 Ag 0.125 0.125 0.125 1
H1 H 0.091 0.289 0.831 1
# **Fermi-level density of states**: 0.000 states/eV per atom
# **E**: -2.922 eV/atom

No. 2
# K2CuAgH6 (PBE, relaxed)
data_K2CuAgH6
_chemical_formula_sum 'K8 Cu4 Ag4 H24'
_symmetry_space_group_name_H-M 'F m m m'
_symmetry_Int_Tables_number 69
_symmetry_space_group_name_Hall '-F 2 2'
_cell_length_a 8.040
_cell_length_b 8.061
_cell_length_c 8.401
_cell_angle_alpha 90.00
_cell_angle_beta 90.00
_cell_angle_gamma 90.00
loop_
_atom_site_label
_atom_site_type_symbol
_atom_site_fract_x
_atom_site_fract_y
_atom_site_fract_z
_atom_site_occupancy
K1 K 0.250 0.250 0.250 1
Cu1 Cu 0.000 0.000 0.000 1
Ag1 Ag 0.000 0.000 0.500 1
H1 H 0.000 0.000 0.294 1
H2 H 0.000 0.192 0.000 1
H3 H 0.193 0.000 0.000 1
# **E**: -2.963 eV/atom

No. 3
# La2CuAgH (PBE, relaxed)
data_La2CuAgH
_chemical_formula_sum 'La2 Cu1 Ag1 H1'
_symmetry_space_group_name_H-M 'P 4/m m m'
_symmetry_Int_Tables_number 123
_symmetry_space_group_name_Hall '-P 4 2'
_cell_length_a 5.222
_cell_length_b 5.222
_cell_length_c 3.896
_cell_angle_alpha 90.00
_cell_angle_beta 90.00
_cell_angle_gamma 90.00
loop_
_atom_site_label
_atom_site_type_symbol
_atom_site_fract_x
_atom_site_fract_y
_atom_site_fract_z
_atom_site_occupancy
La1 La 0.000 0.500 0.000 1
Cu1 Cu 0.000 0.000 0.500 1
Ag1 Ag 0.500 0.500 0.500 1
H1 H 0.000 0.000 0.000 1
# **Fermi-level density of states**: 0.797 states/eV per atom
# **Energy above the lowest structure with this stoichiometry**: 0.000 eV per atom
# **E**: -4.276 eV/atom

No. 4
# La2CuAgH (PBE, relaxed)
data_La2CuAgH
_chemical_formula_sum 'La2 Cu1 Ag1 H1'
_symmetry_space_group_name_H-M 'P 4/m m m'
_symmetry_Int_Tables_number 123
_symmetry_space_group_name_Hall '-P 4 2'
_cell_length_a 5.491
_cell_length_b 5.491
_cell_length_c 4.834
_cell_angle_alpha 90.00
_cell_angle_beta 90.00
_cell_angle_gamma 90.00
loop_
_atom_site_label
_atom_site_type_symbol
_atom_site_fract_x
_atom_site_fract_y
_atom_site_fract_z
_atom_site_occupancy
La1 La 0.000 0.500 0.000 1
Cu1 Cu 0.000 0.000 0.000 1
Ag1 Ag 0.000 0.000 0.500 1
H1 H 0.500 0.500 0.500 1
# **Fermi-level density of states**: 0.939 states/eV per atom
# **Energy above the lowest structure with this stoichiometry**: 0.647 eV per atom
# **E**: -3.629 eV/atom